HfGe2Sb2 | GGA-PBE | relaxed

## Properties
energy relative to the elements, uncorrected	84	meV/atom
N(E_F)	3.3	states/eV/f.u.
VASP energy	-5.403	eV/atom

Lattice parameters (Å, degrees): 7.3537 7.3537 4.1301 90.00 90.00 90.00
Positions (direct):
Hf 0.0000 0.0000 0.0000
Hf 0.5000 0.5000 0.0000
Ge 0.1321 0.3679 0.0000
Ge 0.3679 0.8679 0.0000
Ge 0.6321 0.1321 0.0000
Ge 0.8679 0.6321 0.0000
Sb 0.1836 0.6836 0.5000
Sb 0.3164 0.1836 0.5000
Sb 0.6836 0.8164 0.5000
Sb 0.8164 0.3164 0.5000